ZrSiOs3 | PBE-GGA | relaxed

a = 4.8357 Å, b = 4.8357 Å, c = 4.8357 Å
α = 90.00°, β = 90.00°, γ = 90.00°
With the nearest neighbours (Å) after each atom.
Space group Pm-3m (No. 221)
One atom of each set of equivalent atoms:
Zr1 0.0000 0.0000 0.0000 (multiplicity 1)  6 Os 2.42
Si1 0.5000 0.5000 0.5000 (multiplicity 1)  12 Os 3.42
Os1 0.0000 0.0000 0.5000 (multiplicity 3)  2 Zr 2.42

Computed properties:
Calculated volume (Å³ per cell): 113
ΔE_f (raw) (kJ per mole of atoms): 256.5
Uncorrected energy (eV/cell): -34.368
E above lowest polymorph (eV per atom): 2.2882